# 1
Density functional theory data (GGA-PBE) for a geometry-optimized Y2In3 structure.

Cell lengths 13.026, 13.026, 13.026 Å; angles 15.69, 15.69, 15.69 degrees
Sites, in units of the cell vectors:
In (0.801, 0.801, 0.801)
In (0.199, 0.199, 0.199)
In (0.000, 0.000, 0.000)
Y (0.602, 0.602, 0.602)
Y (0.398, 0.398, 0.398)

* polymorph energy (0 for the lowest one): 0.2587 eV per atom
* SG: No. 166

# 2
Density functional theory data (GGA-PBE) for a geometry-optimized Th4TlHg7 structure.

Cell lengths 5.574, 10.098, 7.114 Å; angles 82.54, 66.94, 73.98 degrees
Sites, in units of the cell vectors:
Th (0.740, 0.665, 0.855)
Th (0.260, 0.335, 0.145)
Th (0.414, 0.776, 0.395)
Th (0.586, 0.224, 0.605)
Hg (0.214, 0.094, 0.479)
Hg (0.632, 0.465, 0.271)
Hg (0.077, 0.669, 0.177)
Hg (0.500, 0.000, 0.000)
Hg (0.368, 0.535, 0.729)
Hg (0.786, 0.906, 0.521)
Hg (0.923, 0.331, 0.823)
Tl (0.000, 0.000, 0.000)

* SG: No. 12

VASP energy, record by record: -22.2, -34.2 eV per cell